Entry from the Alexandria database: an optimized crystal structure of Li2YCl (GGA-PBEsol).

Results
**Uncorrected formation energy**: -2.76 eV/f.u.
**D(E_F)**: 2.6 states/eV per cell
**Polymorph energy (0 for the lowest one)**: 0.0 kJ/mol of formula units

```
data_Li2YCl
_chemical_formula_sum 'Li4 Y2 Cl2'
_symmetry_space_group_name_H-M 'C m m m'
_symmetry_Int_Tables_number 65
_symmetry_space_group_name_Hall '-C 2 2'
_cell_length_a 3.642
_cell_length_b 5.566
_cell_length_c 8.722
_cell_angle_alpha 90.00
_cell_angle_beta 90.00
_cell_angle_gamma 90.00
loop_
_atom_site_label
_atom_site_fract_x
_atom_site_fract_y
_atom_site_fract_z
Li1 0.000 0.000 0.177
Y1 0.000 0.500 0.500
Cl1 0.000 0.500 0.000
```